1.
# K2TeBr PBE relaxed
data_K2TeBr
_symmetry_space_group_name_H-M 'P 4 m m'
_symmetry_Int_Tables_number 99
_cell_length_a 4.215
_cell_length_b 4.215
_cell_length_c 9.852
_cell_angle_alpha 90.00
_cell_angle_beta 90.00
_cell_angle_gamma 90.00
loop_
_symmetry_equiv_pos_as_xyz
'x,y,z'
'-y,x,z'
'-x,-y,z'
'y,-x,z'
'-x,y,z'
'y,x,z'
'x,-y,z'
'-y,-x,z'
loop_
_atom_site_label
_atom_site_type_symbol
_atom_site_fract_x
_atom_site_fract_y
_atom_site_fract_z
K1 K 0.000 0.000 0.000
K2 K 0.500 0.500 0.451
Te1 Te 0.000 0.000 0.646
Br1 Br 0.500 0.500 0.128
# Uncorrected formation energy (eV per formula unit): -4.27
# Distance to the lowest polymorph of the same formula (eV/atom): 0.111

---

2.
# LuPaNiOs PBE relaxed
data_LuPaNiOs
_symmetry_space_group_name_H-M 'F -4 3 m'
_symmetry_Int_Tables_number 216
_symmetry_space_group_name_Hall 'F -4 2 3'
_cell_length_a 6.765
_cell_length_b 6.765
_cell_length_c 6.765
_cell_angle_alpha 90.00
_cell_angle_beta 90.00
_cell_angle_gamma 90.00
loop_
_atom_site_label
_atom_site_type_symbol
_atom_site_fract_x
_atom_site_fract_y
_atom_site_fract_z
Lu1 Lu 0.000 0.000 0.000
Pa1 Pa 0.000 0.000 0.500
Ni1 Ni 0.250 0.250 0.750
Os1 Os 0.250 0.250 0.250
# DFT formation energy (eV/atom): -0.326

---

3.
# BaCuSeBr2 PBE relaxed
data_BaCuSeBr2
_symmetry_space_group_name_H-M 'P 4/m m m'
_symmetry_Int_Tables_number 123
_symmetry_space_group_name_Hall '-P 4 2'
_cell_length_a 6.222
_cell_length_b 6.222
_cell_length_c 4.369
_cell_angle_alpha 90.00
_cell_angle_beta 90.00
_cell_angle_gamma 90.00
loop_
_atom_site_label
_atom_site_type_symbol
_atom_site_fract_x
_atom_site_fract_y
_atom_site_fract_z
Ba1 Ba 0.000 0.000 0.000
Cu1 Cu 0.500 0.500 0.000
Se1 Se 0.500 0.500 0.500
Br1 Br 0.000 0.500 0.500
# Uncorrected formation energy (eV per formula unit): -3.17
# Distance to the lowest polymorph of the same formula (eV/atom): 0.437

---

4.
# MnSiPt2W PBE relaxed
data_MnSiPt2W
_symmetry_space_group_name_H-M 'P 4/m m m'
_symmetry_Int_Tables_number 123
_symmetry_space_group_name_Hall '-P 4 2'
_cell_length_a 4.584
_cell_length_b 4.584
_cell_length_c 4.211
_cell_angle_alpha 90.00
_cell_angle_beta 90.00
_cell_angle_gamma 90.00
loop_
_atom_site_label
_atom_site_type_symbol
_atom_site_fract_x
_atom_site_fract_y
_atom_site_fract_z
Mn1 Mn 0.000 0.000 0.000
Si1 Si 0.000 0.000 0.500
Pt1 Pt 0.000 0.500 0.000
W1 W 0.500 0.500 0.500
# Uncorrected formation energy (eV per formula unit): 5.93

---

5.
# PuVI4 PBE relaxed
data_PuVI4
_symmetry_space_group_name_H-M 'C 1 2/m 1'
_symmetry_Int_Tables_number 12
_cell_length_a 16.222
_cell_length_b 4.272
_cell_length_c 7.499
_cell_angle_alpha 90.00
_cell_angle_beta 109.76
_cell_angle_gamma 90.00
loop_
_symmetry_equiv_pos_as_xyz
'x,y,z'
'-x,-y,-z'
'-x,y,-z'
'x,-y,z'
'x+1/2,y+1/2,z'
'-x+1/2,-y+1/2,-z'
'-x+1/2,y+1/2,-z'
'x+1/2,-y+1/2,z'
loop_
_atom_site_label
_atom_site_type_symbol
_atom_site_fract_x
_atom_site_fract_y
_atom_site_fract_z
Pu1 Pu 0.000 0.000 0.000
V1 V 0.000 0.500 0.500
I1 I 0.108 0.000 0.438
I2 I 0.118 0.500 0.893
# Uncorrected formation energy (eV per formula unit): -4.34

---

6.
# TmU2Pd9 PBE relaxed
data_TmU2Pd9
_symmetry_space_group_name_H-M 'P 4/m m m'
_symmetry_Int_Tables_number 123
_symmetry_space_group_name_Hall '-P 4 2'
_cell_length_a 4.128
_cell_length_b 4.128
_cell_length_c 12.378
_cell_angle_alpha 90.00
_cell_angle_beta 90.00
_cell_angle_gamma 90.00
loop_
_atom_site_label
_atom_site_type_symbol
_atom_site_fract_x
_atom_site_fract_y
_atom_site_fract_z
Tm1 Tm 0.000 0.000 0.000
U1 U 0.000 0.000 0.330
Pd1 Pd 0.000 0.500 0.167
Pd2 Pd 0.000 0.500 0.500
Pd3 Pd 0.500 0.500 0.000
Pd4 Pd 0.500 0.500 0.333
# DFT formation energy (eV/atom): -0.676

---

7.
# In7Pb6 PBE relaxed
data_In7Pb6
_symmetry_space_group_name_H-M 'R -3 m'
_symmetry_Int_Tables_number 166
_symmetry_space_group_name_Hall '-R 3 2"'
_cell_length_a 6.2362
_cell_length_b 6.2362
_cell_length_c 34.1730
_cell_angle_alpha 90.00
_cell_angle_beta 90.00
_cell_angle_gamma 120.00
loop_
_atom_site_label
_atom_site_type_symbol
_atom_site_fract_x
_atom_site_fract_y
_atom_site_fract_z
In1 In 0.0000 0.0000 0.0000
In2 In 0.0033 0.5017 0.4106
Pb1 Pb 0.0000 0.0000 0.1655
Pb2 Pb 0.0000 0.0000 0.3452
Pb3 Pb 0.0000 0.0000 0.4521
# DFT formation energy (eV/atom): 0.055

---

8.
# K2MgTc PBE relaxed
data_K2MgTc
_symmetry_space_group_name_H-M 'C m m m'
_symmetry_Int_Tables_number 65
_symmetry_space_group_name_Hall '-C 2 2'
_cell_length_a 3.818
_cell_length_b 4.479
_cell_length_c 12.287
_cell_angle_alpha 90.00
_cell_angle_beta 90.00
_cell_angle_gamma 90.00
loop_
_atom_site_label
_atom_site_type_symbol
_atom_site_fract_x
_atom_site_fract_y
_atom_site_fract_z
K1 K 0.000 0.000 0.224
Mg1 Mg 0.000 0.500 0.500
Tc1 Tc 0.000 0.500 0.000
# DFT formation energy (eV/atom): 1.047

---

Table of final energy (eV/atom), in record order: -2.82; -8.08; -3.20; -6.74; -5.66; -6.82; -3.13; -2.49